w) HfNb3Sn2, relaxed, DFT GGA-PBE; volume = 486.11 Å³ per cell; space group = Pnma (62)
1.0
9.513 0.000 0.000
0.000 2.989 0.000
0.000 0.000 17.093
Hf Nb Sn
4 12 8
Cartesian
1.890 0.747 2.688
2.867 2.242 11.234
6.647 0.747 5.859
7.623 2.242 14.406
0.142 2.242 9.973
0.239 0.747 15.697
2.178 0.747 5.654
2.578 2.242 14.201
4.518 2.242 7.151
4.615 0.747 1.427
4.898 2.242 15.667
4.996 0.747 9.943
6.935 0.747 2.892
7.335 2.242 11.439
9.274 2.242 1.396
9.371 0.747 7.120
0.308 0.747 12.654
2.343 0.747 8.584
2.414 2.242 0.037
4.449 2.242 4.107
5.064 0.747 12.986
7.099 0.747 17.056
7.170 2.242 8.509
9.206 2.242 4.440



x) HfNb3Sn2, relaxed, DFT GGA-PBE; volume = 249.36 Å³ per cell; space group = C2/m (12)
1.0
7.874 -2.275 0.000
7.874 2.275 0.000
-2.768 0.000 6.961
Hf Nb Sn
2 6 4
Cartesian
1.199 0.000 1.357
11.780 0.000 5.604
-0.740 0.000 4.776
4.261 0.000 0.623
4.791 0.000 3.440
8.188 0.000 3.521
8.718 0.000 6.338
13.720 0.000 2.185
2.091 0.000 4.697
6.979 0.000 1.040
6.000 0.000 5.921
10.888 0.000 2.264



Looking at the structures above, x) is most stable, and the difference to the next one is 6.2 kJ/mol of atoms.